## one
# LiSn2Au4

Crystalline LiSn2Au4 at its relaxed geometry (PBE, Alexandria via LeMat-Bulk).

Results
Space group: Cc
Spin magnetization in μB/f.u.: 0.0

Cell and atoms, written as POSCAR:
```
LiSn2Au4
1.0
5.438 -4.034 0.000
5.438 4.034 0.000
-5.009 0.000 6.825
Li Sn Au
2 4 8
direct
0.143 0.857 0.500 Li
0.857 0.143 0.000 Li
0.000 0.501 0.750 Sn
0.500 0.500 0.250 Sn
0.500 0.500 0.750 Sn
0.501 0.000 0.250 Sn
0.110 0.807 0.149 Au
0.194 0.891 0.852 Au
0.199 0.386 0.343 Au
0.386 0.199 0.843 Au
0.613 0.802 0.656 Au
0.802 0.613 0.156 Au
0.807 0.110 0.649 Au
0.891 0.194 0.352 Au
```



## two
# LiSn2Au4

Crystalline LiSn2Au4 at its relaxed geometry (PBE, Alexandria via LeMat-Bulk).

Results
Space group: P-1
Spin magnetization in μB/f.u.: 0.0

Cell and atoms, written as POSCAR:
```
LiSn2Au4
1.0
5.497 0.000 0.000
0.080 6.973 0.000
0.048 1.323 7.710
Li Sn Au
2 4 8
direct
0.214 0.388 0.248 Li
0.786 0.612 0.752 Li
0.222 0.901 0.706 Sn
0.349 0.329 0.661 Sn
0.651 0.671 0.339 Sn
0.778 0.099 0.294 Sn
0.025 0.300 0.949 Au
0.156 0.668 0.453 Au
0.257 0.996 0.204 Au
0.469 0.704 0.999 Au
0.531 0.296 0.001 Au
0.743 0.004 0.796 Au
0.844 0.332 0.547 Au
0.975 0.700 0.051 Au
```



Most stable to least stable, the ends of the list are two and one.